Record 1
# Al2SiCl

A PBEsol-optimized structure of Al2SiCl (meta-GGA SCAN, Alexandria via LeMat-Bulk).

a = 2.874 Å, b = 4.375 Å, c = 6.254 Å
α = 110.47°, β = 103.29°, γ = 90.00°
Element x y z (fractional)
Si: 0.293 0.793 0.587
Cl: 0.511 0.511 0.022
Al: 0.706 0.206 0.412
Al: 0.990 0.990 0.979

## Properties
- polymorph energy (0 for the lowest one) (meV/atom) = 0
- DOS(E_F) (states/eV/atom) = 0.24
- symmetry = Imm2, No. 44
- uncorrected formation energy (eV per atom) = 0.05

=====

Record 2
# RbNaZn2Pt

A PBEsol-optimized structure of RbNaZn2Pt (meta-GGA SCAN, Alexandria via LeMat-Bulk).

a = 4.894 Å, b = 4.894 Å, c = 5.440 Å
α = 90.00°, β = 90.00°, γ = 90.00°
Element x y z (fractional)
Pt: 0.000 0.000 0.000
Na: 0.000 0.000 0.500
Rb: 0.500 0.500 0.500
Zn: 0.500 0.000 0.000
Zn: 0.000 0.500 0.000

## Properties
- energy (eV for the cell shown) = -123.461
- DOS(E_F) (states/eV/atom) = 0.39
- symmetry = P4/mmm, No. 123

=====

Record 3
# Cu2BiAsO6

A PBEsol-optimized structure of Cu2BiAsO6 (meta-GGA SCAN, Alexandria via LeMat-Bulk).

a = 5.219 Å, b = 7.771 Å, c = 12.069 Å
α = 90.00°, β = 90.00°, γ = 90.00°
Element x y z (fractional)
O: 0.010 0.437 0.201
O: 0.490 0.063 0.701
Bi: 0.250 0.853 0.063
O: 0.010 0.063 0.701
O: 0.750 0.737 0.118
Cu: 0.750 0.458 0.695
As: 0.750 0.518 0.125
O: 0.002 0.609 0.410
Bi: 0.750 0.353 0.437
Bi: 0.750 0.147 0.937
O: 0.750 0.763 0.618
O: 0.002 0.891 0.910
Cu: 0.250 0.958 0.805
As: 0.250 0.018 0.375
O: 0.498 0.609 0.410
Cu: 0.750 0.042 0.195
O: 0.498 0.891 0.910
O: 0.998 0.391 0.590
O: 0.510 0.563 0.799
Cu: 0.250 0.275 0.129
O: 0.502 0.391 0.590
Cu: 0.750 0.775 0.371
O: 0.990 0.937 0.299
Bi: 0.250 0.647 0.563
As: 0.750 0.982 0.625
O: 0.490 0.437 0.201
O: 0.510 0.937 0.299
Cu: 0.250 0.225 0.629
O: 0.502 0.109 0.090
O: 0.250 0.928 0.503
O: 0.750 0.072 0.497
O: 0.750 0.428 0.997
O: 0.250 0.263 0.882
O: 0.998 0.109 0.090
O: 0.250 0.572 0.003
O: 0.990 0.563 0.799
Cu: 0.250 0.542 0.305
Cu: 0.750 0.725 0.871
O: 0.250 0.237 0.382
As: 0.250 0.482 0.875

## Properties
- symmetry = Pnma, No. 62
- uncorrected formation energy (eV per atom) = -1.13

=====

Record 4
# Ba2InH2

A PBEsol-optimized structure of Ba2InH2 (meta-GGA SCAN, Alexandria via LeMat-Bulk).

a = 4.218 Å, b = 4.218 Å, c = 8.108 Å
α = 105.08°, β = 105.08°, γ = 90.00°
Element x y z (fractional)
H: 0.250 0.750 0.500
Ba: 0.350 0.350 0.699
In: 0.000 0.000 0.000
H: 0.750 0.250 0.500
Ba: 0.650 0.650 0.301

## Properties
- energy (eV for the cell shown) = -121.923
- DOS(E_F) (states/eV/atom) = 0.56
- symmetry = I4/mmm, No. 139

=====

Record 5
# CoCuNi2

A PBEsol-optimized structure of CoCuNi2 (meta-GGA SCAN, Alexandria via LeMat-Bulk).

a = 2.460 Å, b = 2.460 Å, c = 8.187 Å
α = 81.36°, β = 81.36°, γ = 60.00°
Element x y z (fractional)
Ni: 0.248 0.248 0.255
Co: 0.500 0.500 0.500
Ni: 0.752 0.752 0.745
Cu: 0.000 0.000 0.000

## Properties
- energy (eV for the cell shown) = -64.722
- DOS(E_F) (states/eV/atom) = 0.80
- symmetry = R-3m, No. 166

=====

Record 6
# TlTc2Se

A PBEsol-optimized structure of TlTc2Se (meta-GGA SCAN, Alexandria via LeMat-Bulk).

a = 3.068 Å, b = 3.068 Å, c = 6.795 Å
α = 90.00°, β = 90.00°, γ = 90.00°
Element x y z (fractional)
Tl: 0.500 0.500 0.000
Tc: 0.000 0.000 0.710
Tc: 0.000 0.000 0.290
Se: 0.500 0.500 0.500

## Properties
- polymorph energy (0 for the lowest one) (meV/atom) = 237
- DOS(E_F) (states/eV/atom) = 1.17
- symmetry = P4/mmm, No. 123
- uncorrected formation energy (eV per atom) = 0.55